(1)
{
  "formula": "SrZnPd2W",
  "functional": "PBE",
  "state": "relaxed",
  "cell": [[4.9127, 0.0000, 0.0000], [0.0000, 4.9127, 0.0000], [0.0000, 0.0000, 5.0206]],
  "species": ["Sr", "Zn", "Pd", "Pd", "W"],
  "fractional_positions": [[0.0000, 0.0000, 0.0000], [0.5000, 0.5000, 0.0000], [0.0000, 0.5000, 0.5000], [0.5000, 0.0000, 0.5000], [0.5000, 0.5000, 0.5000]],
  "magmom_total_mub_per_atom": 0.00,
  "energy_ev_per_atom": -4.850,
  "sg": "No. 123",
  "ef_kj_per_mol_fu": 197
}

(2)
{
  "formula": "Ca2CdAgN",
  "functional": "PBE",
  "state": "relaxed",
  "cell": [[4.8832, 0.0000, 0.0000], [0.0000, 4.8832, 0.0000], [0.0000, 0.0000, 4.5207]],
  "species": ["Ca", "Ca", "Cd", "Ag", "N"],
  "fractional_positions": [[0.0000, 0.5000, 0.0000], [0.5000, 0.0000, 0.0000], [0.0000, 0.0000, 0.5000], [0.5000, 0.5000, 0.5000], [0.5000, 0.5000, 0.0000]],
  "polymorph_energy_ev_per_atom": 0.031,
  "magmom_total_mub_per_atom": 0.00,
  "formation_energy_uncorrected_ev_per_atom": -0.307,
  "energy_ev_per_atom": -3.526,
  "sg": "No. 123"
}

(3)
{
  "formula": "Li2Al2H7",
  "functional": "PBE",
  "state": "relaxed",
  "cell": [[2.8850, -4.6082, 0.0000], [2.8850, 4.6082, 0.0000], [-1.5157, 0.0000, 3.8310]],
  "species": ["Li", "Li", "Al", "Al", "H", "H", "H", "H", "H", "H", "H"],
  "fractional_positions": [[0.1957, 0.8043, 0.0000], [0.8043, 0.1957, 0.0000], [0.2733, 0.2733, 0.6880], [0.7267, 0.7267, 0.3120], [0.0587, 0.4138, 0.7564], [0.0614, 0.0614, 0.2697], [0.4138, 0.0587, 0.7564], [0.5000, 0.5000, 0.5000], [0.5862, 0.9413, 0.2436], [0.9386, 0.9386, 0.7303], [0.9413, 0.5862, 0.2436]],
  "magmom_total_mub_per_atom": 0.00,
  "energy_ev_per_atom": -3.222,
  "sg": "No. 12"
}

(4)
{
  "formula": "Ho8Sb2Pd3",
  "functional": "PBE",
  "state": "relaxed",
  "cell": [[7.9358, -3.9191, 0.0000], [7.9358, 3.9191, 0.0000], [-2.0572, 0.0000, 6.6278]],
  "species": ["Ho", "Ho", "Ho", "Ho", "Ho", "Ho", "Ho", "Ho", "Sb", "Sb", "Pd", "Pd", "Pd"],
  "fractional_positions": [[0.0911, 0.0911, 0.3459], [0.1428, 0.6425, 0.0975], [0.3575, 0.8572, 0.9025], [0.4022, 0.4022, 0.5892], [0.5978, 0.5978, 0.4108], [0.6425, 0.1428, 0.0975], [0.8572, 0.3575, 0.9025], [0.9089, 0.9089, 0.6541], [0.2486, 0.2486, 0.1705], [0.7514, 0.7514, 0.8295], [0.2334, 0.7666, 0.5000], [0.5000, 0.5000, 0.0000], [0.7666, 0.2334, 0.5000]],
  "magmom_total_mub_per_atom": 0.00,
  "formation_energy_uncorrected_ev_per_atom": -0.558,
  "energy_ev_per_atom": -5.207,
  "sg": "No. 12"
}

(5)
{
  "formula": "Hf4ZnPb",
  "functional": "PBE",
  "state": "relaxed",
  "cell": [[6.7769, 0.0000, 0.0000], [0.0000, 6.7769, 0.0000], [0.0000, 0.0000, 5.6290]],
  "species": ["Hf", "Hf", "Hf", "Hf", "Hf", "Hf", "Hf", "Hf", "Zn", "Zn", "Pb", "Pb"],
  "fractional_positions": [[0.1381, 0.3340, 0.0000], [0.1381, 0.6660, 0.5000], [0.3340, 0.1381, 0.5000], [0.3340, 0.8619, 0.0000], [0.6660, 0.1381, 0.0000], [0.6660, 0.8619, 0.5000], [0.8619, 0.3340, 0.5000], [0.8619, 0.6660, 0.0000], [0.0000, 0.0000, 0.2500], [0.0000, 0.0000, 0.7500], [0.5000, 0.5000, 0.2500], [0.5000, 0.5000, 0.7500]],
  "magmom_total_mub_per_atom": 0.00,
  "energy_ev_per_atom": -7.471,
  "sg": "No. 124",
  "ef_kj_per_mol_fu": -3
}

(6)
{
  "formula": "BiAs2Pt2",
  "functional": "PBE",
  "state": "relaxed",
  "cell": [[-2.3211, 2.3211, 4.7997], [2.3211, -2.3211, 4.7997], [2.3211, 2.3211, -4.7997]],
  "species": ["Bi", "As", "As", "Pt", "Pt"],
  "fractional_positions": [[0.0000, 0.0000, 0.0000], [0.3620, 0.3620, 0.0000], [0.6380, 0.6380, 0.0000], [0.2500, 0.7500, 0.5000], [0.7500, 0.2500, 0.5000]],
  "polymorph_energy_ev_per_atom": 0.082,
  "magmom_total_mub_per_atom": 0.00,
  "energy_ev_per_atom": -5.110,
  "sg": "No. 139",
  "ef_kj_per_mol_fu": -28
}

(7)
{
  "formula": "La4Ni2I3",
  "functional": "PBE",
  "state": "relaxed",
  "cell": [[7.9903, -2.0868, 0.0000], [7.9903, 2.0868, 0.0000], [-7.9559, 0.0000, 9.7526]],
  "species": ["La", "La", "La", "La", "Ni", "Ni", "I", "I", "I"],
  "fractional_positions": [[0.1189, 0.1189, 0.3560], [0.2946, 0.2946, 0.8503], [0.7054, 0.7054, 0.1497], [0.8811, 0.8811, 0.6440], [0.2558, 0.2558, 0.6333], [0.7442, 0.7442, 0.3667], [0.0000, 0.0000, 0.0000], [0.3892, 0.3892, 0.1884], [0.6108, 0.6108, 0.8116]],
  "magmom_total_mub_per_atom": 0.00,
  "formation_energy_uncorrected_ev_per_atom": -0.592,
  "energy_ev_per_atom": -4.583,
  "sg": "No. 12"
}

(8)
{
  "formula": "TaCoTe2",
  "functional": "PBE",
  "state": "relaxed",
  "cell": [[-3.0515, 3.0515, 5.8490], [3.0515, -3.0515, 5.8490], [3.0515, 3.0515, -5.8490]],
  "species": ["Ta", "Ta", "Co", "Co", "Te", "Te", "Te", "Te"],
  "fractional_positions": [[0.0000, 0.0000, 0.0000], [0.7500, 0.2500, 0.5000], [0.2500, 0.7500, 0.5000], [0.5000, 0.5000, 0.0000], [0.1545, 0.6250, 0.0295], [0.3750, 0.4045, 0.5295], [0.5955, 0.1250, 0.9705], [0.8750, 0.8455, 0.4705]],
  "magmom_total_mub_per_atom": 0.01,
  "formation_energy_uncorrected_ev_per_atom": 0.417,
  "energy_ev_per_atom": -5.893,
  "sg": "No. 122"
}

(9)
{
  "formula": "Pm3Tl4Hg2",
  "functional": "PBE",
  "state": "relaxed",
  "cell": [[8.1152, 0.0000, 0.0000], [-4.0576, 7.0280, 0.0000], [0.0000, 0.0000, 4.4451]],
  "species": ["Pm", "Pm", "Pm", "Tl", "Tl", "Tl", "Tl", "Hg", "Hg"],
  "fractional_positions": [[0.0000, 0.4002, 0.0000], [0.4002, 0.0000, 0.0000], [0.5998, 0.5998, 0.0000], [0.0000, 0.0000, 0.0000], [0.0000, 0.7317, 0.5000], [0.2683, 0.2683, 0.5000], [0.7317, 0.0000, 0.5000], [0.3333, 0.6667, 0.5000], [0.6667, 0.3333, 0.5000]],
  "polymorph_energy_ev_per_atom": 0.043,
  "magmom_total_mub_per_atom": 0.00,
  "energy_ev_per_atom": -2.980,
  "sg": "No. 189",
  "ef_kj_per_mol_fu": -241
}

(10)
{
  "formula": "La2PdCl",
  "functional": "PBE",
  "state": "relaxed",
  "cell": [[-3.1936, 3.1936, 6.9919], [3.1936, -3.1936, 6.9919], [3.1936, 3.1936, -6.9919]],
  "species": ["La", "La", "La", "La", "Pd", "Pd", "Cl", "Cl"],
  "fractional_positions": [[0.1167, 0.6250, 0.9917], [0.3750, 0.3667, 0.4917], [0.6333, 0.1250, 0.0083], [0.8750, 0.8833, 0.5083], [0.0000, 0.0000, 0.0000], [0.7500, 0.2500, 0.5000], [0.2500, 0.7500, 0.5000], [0.5000, 0.5000, 0.0000]],
  "polymorph_energy_ev_per_atom": 0.338,
  "magmom_total_mub_per_atom": 0.00,
  "formation_energy_uncorrected_ev_per_atom": -0.832,
  "energy_ev_per_atom": -5.055,
  "sg": "No. 122"
}

(11)
{
  "formula": "Bi5Te3O18",
  "functional": "PBE",
  "state": "relaxed",
  "cell": [[8.3917, -4.5237, 0.0000], [8.3917, 4.5237, 0.0000], [-2.6178, 0.0000, 11.0953]],
  "species": ["Bi", "Bi", "Bi", "Bi", "Bi", "Bi", "Bi", "Bi", "Bi", "Bi", "Te", "Te", "Te", "Te", "Te", "Te", "O", "O", "O", "O", "O", "O", "O", "O", "O", "O", "O", "O", "O", "O", "O", "O", "O", "O", "O", "O", "O", "O", "O", "O", "O", "O", "O", "O", "O", "O", "O", "O", "O", "O", "O", "O"],
  "fractional_positions": [[0.0000, 0.0000, 0.0000], [0.0916, 0.2681, 0.3977], [0.1027, 0.1747, 0.7492], [0.2433, 0.5345, 0.7112], [0.4223, 0.2642, 0.9958], [0.4655, 0.7567, 0.2888], [0.5752, 0.4248, 0.5000], [0.7319, 0.9084, 0.6023], [0.7358, 0.5777, 0.0042], [0.8253, 0.8973, 0.2508], [0.0496, 0.6047, 0.9802], [0.0727, 0.6266, 0.4454], [0.3734, 0.9273, 0.5546], [0.3953, 0.9504, 0.0198], [0.6824, 0.2702, 0.7661], [0.7298, 0.3176, 0.2339], [0.0436, 0.7704, 0.6047], [0.0470, 0.4927, 0.5419], [0.0861, 0.7548, 0.3442], [0.0949, 0.7158, 0.8801], [0.1059, 0.4482, 0.3154], [0.1754, 0.3851, 0.8760], [0.1805, 0.0343, 0.9165], [0.2236, 0.1763, 0.5903], [0.2296, 0.9564, 0.3953], [0.2452, 0.9139, 0.6558], [0.2719, 0.5149, 0.0780], [0.2842, 0.9051, 0.1199], [0.3093, 0.5080, 0.5108], [0.3519, 0.1624, 0.1153], [0.4758, 0.0222, 0.9086], [0.4851, 0.7281, 0.9220], [0.4875, 0.3276, 0.8486], [0.4920, 0.6907, 0.4892], [0.5073, 0.9530, 0.4581], [0.5094, 0.4810, 0.2887], [0.5190, 0.4906, 0.7113], [0.5518, 0.8941, 0.6846], [0.5989, 0.1825, 0.6137], [0.6149, 0.8246, 0.1240], [0.6667, 0.1991, 0.0888], [0.6724, 0.5125, 0.1514], [0.7454, 0.1607, 0.3312], [0.8009, 0.3333, 0.9112], [0.8175, 0.4011, 0.3863], [0.8210, 0.0445, 0.8087], [0.8237, 0.7764, 0.4097], [0.8376, 0.6481, 0.8847], [0.8393, 0.2546, 0.6688], [0.9555, 0.1790, 0.1913], [0.9657, 0.8195, 0.0835], [0.9778, 0.5242, 0.0914]],
  "magmom_total_mub_per_atom": 0.03,
  "formation_energy_uncorrected_ev_per_atom": -0.942,
  "energy_ev_per_atom": -5.484,
  "sg": "No. 5"
}

(12)
{
  "formula": "PrSn6Ir",
  "functional": "PBE",
  "state": "relaxed",
  "cell": [[3.7563, -5.2065, 0.0000], [3.7563, 5.2065, 0.0000], [-3.5144, 0.0000, 5.3618]],
  "species": ["Pr", "Sn", "Sn", "Sn", "Sn", "Sn", "Sn", "Ir"],
  "fractional_positions": [[0.0000, 0.0000, 0.0000], [0.2400, 0.2400, 0.6809], [0.2405, 0.6813, 0.2396], [0.3187, 0.7595, 0.7604], [0.6813, 0.2405, 0.2396], [0.7595, 0.3187, 0.7604], [0.7600, 0.7600, 0.3191], [0.5000, 0.5000, 0.5000]],
  "magmom_total_mub_per_atom": 0.00,
  "energy_ev_per_atom": -4.912,
  "sg": "No. 12",
  "ef_kj_per_mol_fu": -158
}